1.
Density functional theory data (GGA-PBE) for Ac4In3Pd5 after structural relaxation.

Calculated values
Energy of formation: -623 meV per atom
N(E_F): 7.38 states/eV per cell

Cell and atoms, written as POSCAR:
```
Ac4In3Pd5
1.0
6.978 -2.475 0.000
6.978 2.475 0.000
-6.451 0.000 9.548
Ac In Pd
4 3 5
Cartesian
-1.601 0.000 3.087
-1.099 0.000 7.050
8.605 0.000 2.498
9.107 0.000 6.461
0.000 0.000 0.000
4.063 0.000 0.756
3.443 0.000 8.792
1.057 0.000 4.681
3.536 0.000 3.436
6.978 0.000 0.000
3.970 0.000 6.112
6.449 0.000 4.867
```



2.
Density functional theory data (GGA-PBE) for VCdH after structural relaxation.

Calculated values
Excess energy over the best structure of this formula in the dataset: 0 meV/atom
N(E_F): 2.31 states/eV per cell

Cell and atoms, written as POSCAR:
```
VCdH
1.0
3.016 0.000 0.000
1.316 2.727 0.000
0.775 0.448 9.204
V Cd H
2 2 2
Cartesian
1.134 0.714 0.927
3.974 2.461 8.277
1.107 0.670 5.893
4.000 2.505 3.311
2.440 1.493 8.359
2.668 1.682 0.844
```



3.
Density functional theory data (GGA-PBE) for Mg2ZrBeP after structural relaxation.

Calculated values
Energy of formation: 418 meV per atom
Excess energy over the best structure of this formula in the dataset: 0 meV/atom
N(E_F): 2.74 states/eV per cell

Cell and atoms, written as POSCAR:
```
Mg2ZrBeP
1.0
5.044 0.000 0.000
0.000 5.044 0.000
0.000 0.000 3.968
Mg Zr Be P
2 1 1 1
Cartesian
0.000 2.522 0.000
2.522 0.000 0.000
0.000 0.000 1.984
2.522 2.522 1.984
2.522 2.522 0.000
```



4.
Density functional theory data (GGA-PBE) for NiH2Ru2 after structural relaxation.

Calculated values
Excess energy over the best structure of this formula in the dataset: 0 meV/atom
N(E_F): 8.83 states/eV per cell

Cell and atoms, written as POSCAR:
```
NiH2Ru2
1.0
2.963 0.000 0.000
0.000 2.963 0.000
0.000 0.000 10.269
Ni H Ru
2 4 4
Cartesian
0.000 0.000 0.000
1.481 1.481 5.134
0.000 1.481 2.567
0.000 1.481 7.702
1.481 0.000 2.567
1.481 0.000 7.702
0.000 0.000 3.690
0.000 0.000 6.579
1.481 1.481 1.444
1.481 1.481 8.824
```



5.
Density functional theory data (GGA-PBE) for Nd2AlInGe after structural relaxation.

Calculated values
Energy of formation: -538 meV per atom
N(E_F): 5.05 states/eV per cell

Cell and atoms, written as POSCAR:
```
Nd2AlInGe
1.0
7.543 0.000 0.000
0.000 4.598 0.000
-0.004 0.000 7.798
Nd Al In Ge
4 2 2 2
Cartesian
0.016 1.150 1.699
3.754 1.150 1.697
3.785 3.449 6.102
7.523 3.449 6.099
1.890 3.449 3.198
5.649 1.150 4.600
1.884 1.150 4.666
5.655 3.449 3.132
1.884 3.449 0.696
5.655 1.150 7.102
```



6.
Density functional theory data (GGA-PBE) for YSe2 after structural relaxation.

Calculated values
E_form (uncorrected): -0.1635 eV per atom
N(E_F): 5.53 states/eV per cell

Cell and atoms, written as POSCAR:
```
YSe2
1.0
0.000 4.153 4.153
4.153 0.000 4.153
4.153 4.153 0.000
Y Se
2 4
Cartesian
1.038 1.038 1.038
7.267 7.267 7.267
4.153 2.076 2.076
2.076 4.153 2.076
2.076 2.076 4.153
4.153 4.153 4.153
```



7.
Density functional theory data (GGA-PBE) for SmFeAg after structural relaxation.

Calculated values
Energy of formation: -39 meV per atom
N(E_F): 9.37 states/eV per cell

Cell and atoms, written as POSCAR:
```
SmFeAg
1.0
3.985 0.000 0.000
0.000 16.385 0.000
0.000 0.000 3.782
Sm Fe Ag
4 4 4
Cartesian
0.000 1.660 0.946
0.000 14.725 2.837
1.992 6.532 2.837
1.992 9.852 0.946
0.000 7.715 0.946
0.000 8.670 2.837
1.992 0.478 2.837
1.992 15.907 0.946
0.000 4.830 0.946
0.000 11.555 2.837
1.992 3.363 2.837
1.992 13.022 0.946
```



8.
Density functional theory data (GGA-PBE) for CsH6PdPt after structural relaxation.

Calculated values
N(E_F): 4.21 states/eV per cell

Cell and atoms, written as POSCAR:
```
CsH6PdPt
1.0
4.973 0.000 0.000
-2.487 4.307 0.000
0.000 0.000 6.030
Cs H Pd Pt
1 6 1 1
Cartesian
0.000 0.000 0.000
1.797 0.067 3.800
0.956 1.523 2.230
3.176 0.067 2.230
1.646 2.718 3.800
4.017 1.523 3.800
3.327 2.718 2.230
0.000 2.871 3.015
2.487 1.436 3.015
```



9.
Density functional theory data (GGA-PBE) for Pr3PbS2 after structural relaxation.

Calculated values
E_form (uncorrected): -1.4806 eV per atom
N(E_F): 4.91 states/eV per cell

Cell and atoms, written as POSCAR:
```
Pr3PbS2
1.0
4.281 0.000 0.000
0.000 6.096 0.000
0.000 0.000 12.831
Pr Pb S
6 2 4
Cartesian
0.000 0.000 0.000
0.000 0.000 4.072
0.000 0.000 8.759
2.141 3.048 2.344
2.141 3.048 6.415
2.141 3.048 10.487
0.000 3.048 0.000
2.141 0.000 6.415
0.000 3.048 4.334
0.000 3.048 8.497
2.141 0.000 2.082
2.141 0.000 10.749
```



10.
Density functional theory data (GGA-PBE) for InPH3 after structural relaxation.

Calculated values
Excess energy over the best structure of this formula in the dataset: 501 meV/atom
N(E_F): 2.53 states/eV per cell

Cell and atoms, written as POSCAR:
```
InPH3
1.0
3.898 0.000 0.000
0.000 3.898 0.000
0.000 0.000 3.898
In P H
1 1 3
Cartesian
0.000 0.000 0.000
1.949 1.949 1.949
0.000 0.000 1.949
0.000 1.949 0.000
1.949 0.000 0.000
```



11.
Density functional theory data (GGA-PBE) for ScBH2S after structural relaxation.

Calculated values
N(E_F): 1.46 states/eV per cell

Cell and atoms, written as POSCAR:
```
ScBH2S
1.0
3.434 0.000 0.000
0.000 3.434 0.000
0.000 0.000 5.128
Sc B H S
1 1 2 1
Cartesian
0.000 0.000 0.000
0.000 0.000 2.564
0.000 1.717 2.564
1.717 0.000 2.564
1.717 1.717 0.000
```



12.
Density functional theory data (GGA-PBE) for NaSnAsSe2 after structural relaxation.

Calculated values
Excess energy over the best structure of this formula in the dataset: 461 meV/atom
E_form (uncorrected): 0.5549 eV per atom
N(E_F): 4.83 states/eV per cell

Cell and atoms, written as POSCAR:
```
NaSnAsSe2
1.0
5.228 0.000 0.000
0.000 5.228 0.000
0.000 0.000 4.924
Na Sn As Se
1 1 1 2
Cartesian
0.000 0.000 0.000
2.614 2.614 2.462
0.000 0.000 2.462
0.000 2.614 0.000
2.614 0.000 0.000
```



13.
Density functional theory data (GGA-PBE) for Na2TlCd2 after structural relaxation.

Calculated values
Energy of formation: -9 meV per atom
Excess energy over the best structure of this formula in the dataset: 87 meV/atom
N(E_F): 4.02 states/eV per cell

Cell and atoms, written as POSCAR:
```
Na2TlCd2
1.0
9.114 0.000 0.000
0.000 9.114 0.000
0.000 0.000 3.371
Na Tl Cd
4 2 4
Cartesian
1.599 2.958 0.000
2.958 7.515 0.000
6.156 1.599 0.000
7.515 6.156 0.000
0.000 0.000 0.000
4.557 4.557 0.000
1.083 5.640 1.685
3.474 1.083 1.685
5.640 8.031 1.685
8.031 3.474 1.685
```



14.
Density functional theory data (GGA-PBE) for Pr2Co2I after structural relaxation.

Calculated values
E_form (uncorrected): -0.5583 eV per atom
N(E_F): 10.98 states/eV per cell

Cell and atoms, written as POSCAR:
```
Pr2Co2I
1.0
4.012 0.000 0.000
-2.006 3.474 0.000
0.000 0.000 17.853
Pr Co I
4 4 2
Cartesian
0.000 0.000 1.889
0.000 0.000 7.037
0.000 0.000 10.816
0.000 0.000 15.963
0.000 2.316 17.852
0.000 2.316 8.927
2.006 1.158 0.001
2.006 1.158 8.926
0.000 2.316 4.463
2.006 1.158 13.389
```



15.
Density functional theory data (GGA-PBE) for YBS2N after structural relaxation.

Calculated values
Excess energy over the best structure of this formula in the dataset: 0 meV/atom
E_form (uncorrected): -0.3417 eV per atom
N(E_F): 1.48 states/eV per cell

Cell and atoms, written as POSCAR:
```
YBS2N
1.0
5.280 0.000 0.000
0.000 5.280 0.000
0.000 0.000 2.751
Y B S N
1 1 2 1
Cartesian
0.000 0.000 0.000
2.640 2.640 1.376
0.000 2.640 1.376
2.640 0.000 1.376
2.640 2.640 0.000
```



16.
Density functional theory data (GGA-PBE) for TlF3 after structural relaxation.

Calculated values
E_form (uncorrected): -1.7103 eV per atom
N(E_F): 0.00 states/eV per cell

Cell and atoms, written as POSCAR:
```
TlF3
1.0
3.272 0.000 0.000
0.000 7.060 0.000
0.000 0.000 4.980
Tl F
2 6
Cartesian
0.000 0.000 0.000
1.636 3.530 2.490
0.000 2.223 3.374
0.000 3.530 1.012
0.000 4.837 3.374
1.636 0.000 3.502
1.636 1.307 0.884
1.636 5.753 0.884
```



17.
Density functional theory data (GGA-PBE) for Zn2GeBi2 after structural relaxation.

Calculated values
Energy of formation: 216 meV per atom
Excess energy over the best structure of this formula in the dataset: 6 meV/atom
N(E_F): 4.31 states/eV per cell

Cell and atoms, written as POSCAR:
```
Zn2GeBi2
1.0
3.777 0.000 0.000
0.000 3.777 0.000
0.000 0.000 16.906
Zn Ge Bi
4 2 4
Cartesian
0.000 1.889 4.227
0.000 1.889 12.680
1.889 0.000 4.227
1.889 0.000 12.680
0.000 0.000 0.000
1.889 1.889 8.453
0.000 0.000 6.713
0.000 0.000 10.194
1.889 1.889 1.741
1.889 1.889 15.166
```



18.
Density functional theory data (GGA-PBE) for Si2SbI after structural relaxation.

Calculated values
Excess energy over the best structure of this formula in the dataset: 73 meV/atom
E_form (uncorrected): 0.7242 eV per atom
N(E_F): 8.15 states/eV per cell

Cell and atoms, written as POSCAR:
```
Si2SbI
1.0
7.213 0.000 0.000
0.000 7.213 0.000
0.000 0.000 7.213
Si Sb I
8 4 4
Cartesian
1.803 1.803 1.803
1.803 1.803 5.410
1.803 5.410 1.803
1.803 5.410 5.410
5.410 1.803 1.803
5.410 1.803 5.410
5.410 5.410 1.803
5.410 5.410 5.410
0.000 0.000 0.000
0.000 3.607 3.607
3.607 0.000 3.607
3.607 3.607 0.000
0.000 0.000 3.607
0.000 3.607 0.000
3.607 0.000 0.000
3.607 3.607 3.607
```



19.
Density functional theory data (GGA-PBE) for K2AgBr after structural relaxation.

Calculated values
Excess energy over the best structure of this formula in the dataset: 119 meV/atom
E_form (uncorrected): -0.6733 eV per atom

Cell and atoms, written as POSCAR:
```
K2AgBr
1.0
4.699 0.000 0.000
0.000 4.699 0.000
0.000 0.000 14.238
K Ag Br
4 2 2
Cartesian
0.000 0.000 0.000
0.000 2.349 3.559
2.349 0.000 10.678
2.349 2.349 7.119
0.000 2.349 10.678
2.349 0.000 3.559
0.000 0.000 7.119
2.349 2.349 0.000
```



20.
Density functional theory data (GGA-PBE) for SbMo2Os after structural relaxation.

Calculated values
E_form (uncorrected): 0.3745 eV per atom
N(E_F): 2.85 states/eV per cell

Cell and atoms, written as POSCAR:
```
SbMo2Os
1.0
3.008 0.000 0.000
0.000 4.132 0.000
0.000 0.000 5.423
Sb Mo Os
1 2 1
Cartesian
0.000 0.000 0.000
0.000 0.000 2.756
1.504 2.066 1.375
1.504 2.066 3.908
```



What did we get for size of the total moment? Answer: 0.000, 0.000, 0.000, 0.000, 0.000, 1.384, 0.002, 0.000, 0.000, 1.761, 0.000, 0.000, 0.000, 0.745, 0.000, 0.000, 0.000, 0.000, 0.000, 0.000 μB per cell, in the order shown.
What did we get for DFT total energy? Answer: -4.8412, -4.4926, -3.7569, -5.9897, -4.6649, -4.6412, -5.3836, -3.7360, -5.8642, -2.6468, -4.6849, -2.8332, -1.3756, -5.6224, -6.2860, -3.7054, -2.7694, -3.4054, -2.3531, -8.8791 eV/atom, in the order shown.